# 1
# Ce2ErTl2Ag2 GGA-PBE optimized geometry
data_Ce2ErTl2Ag2
_chemical_formula_sum 'Ce6 Er3 Tl6 Ag6'
_cell_length_a 4.7913
_cell_length_b 4.7913
_cell_length_c 26.1927
_cell_angle_alpha 90.00
_cell_angle_beta 90.00
_cell_angle_gamma 120.00
_symmetry_space_group_name_H-M 'R -3 m'
_symmetry_Int_Tables_number 166
_symmetry_space_group_name_Hall '-R 3 2"'
loop_
_atom_site_label
_atom_site_type_symbol
_atom_site_fract_x
_atom_site_fract_y
_atom_site_fract_z
Ce1 Ce 0.0000 0.0000 0.1428
Er1 Er 0.0000 0.0000 0.0000
Tl1 Tl 0.0000 0.0000 0.2721
Ag1 Ag 0.0000 0.0000 0.4249
# Energy relative to the elements   -118.8 meV/atom
# DOS(E_F)   10.78 states/eV/f.u.

=====

# 2
# CeEuAg2 GGA-PBE optimized geometry
data_CeEuAg2
_chemical_formula_sum 'Ce4 Eu4 Ag8'
_cell_length_a 7.537
_cell_length_b 7.537
_cell_length_c 7.537
_cell_angle_alpha 90.00
_cell_angle_beta 90.00
_cell_angle_gamma 90.00
_symmetry_space_group_name_H-M 'F m -3 m'
_symmetry_Int_Tables_number 225
_symmetry_space_group_name_Hall '-F 4 2 3'
loop_
_atom_site_label
_atom_site_type_symbol
_atom_site_fract_x
_atom_site_fract_y
_atom_site_fract_z
Ce1 Ce 0.000 0.000 0.000
Eu1 Eu 0.000 0.000 0.500
Ag1 Ag 0.250 0.250 0.250
# Energy relative to the elements   -161.5 meV/atom
# DOS(E_F)   11.12 states/eV/f.u.

=====

# 3
# Ce2EuAg GGA-PBE optimized geometry
data_Ce2EuAg
_chemical_formula_sum 'Ce2 Eu1 Ag1'
_cell_length_a 3.844
_cell_length_b 3.844
_cell_length_c 8.470
_cell_angle_alpha 90.00
_cell_angle_beta 90.00
_cell_angle_gamma 90.00
_symmetry_space_group_name_H-M 'P 4/m m m'
_symmetry_Int_Tables_number 123
_symmetry_space_group_name_Hall '-P 4 2'
loop_
_atom_site_label
_atom_site_type_symbol
_atom_site_fract_x
_atom_site_fract_y
_atom_site_fract_z
Ce1 Ce 0.000 0.000 0.194
Eu1 Eu 0.500 0.500 0.500
Ag1 Ag 0.500 0.500 0.000
# Energy relative to the elements   109.4 meV/atom
# Relative energy among the computed polymorphs   0.0 meV per atom
# DOS(E_F)   14.27 states/eV/f.u.

=====

# 4
# Ce2EuAg GGA-PBE optimized geometry
data_Ce2EuAg
_chemical_formula_sum 'Ce6 Eu3 Ag3'
_cell_length_a 3.2838
_cell_length_b 3.2838
_cell_length_c 35.4092
_cell_angle_alpha 90.00
_cell_angle_beta 90.00
_cell_angle_gamma 120.00
_symmetry_space_group_name_H-M 'R -3 m'
_symmetry_Int_Tables_number 166
_symmetry_space_group_name_Hall '-R 3 2"'
loop_
_atom_site_label
_atom_site_type_symbol
_atom_site_fract_x
_atom_site_fract_y
_atom_site_fract_z
Ce1 Ce 0.0000 0.0000 0.0928
Eu1 Eu 0.0000 0.0000 0.0000
Ag1 Ag 0.0000 0.0000 0.5000
# Energy relative to the elements   237.0 meV/atom
# Relative energy among the computed polymorphs   127.6 meV per atom
# DOS(E_F)   10.15 states/eV/f.u.

=====

# 5
# CeEuAg2 GGA-PBE optimized geometry
data_CeEuAg2
_chemical_formula_sum 'Ce1 Eu1 Ag2'
_cell_length_a 5.384
_cell_length_b 5.384
_cell_length_c 3.681
_cell_angle_alpha 90.00
_cell_angle_beta 90.00
_cell_angle_gamma 90.00
_symmetry_space_group_name_H-M 'P 4/m m m'
_symmetry_Int_Tables_number 123
_symmetry_space_group_name_Hall '-P 4 2'
loop_
_atom_site_label
_atom_site_type_symbol
_atom_site_fract_x
_atom_site_fract_y
_atom_site_fract_z
Ce1 Ce 0.000 0.000 0.000
Eu1 Eu 0.500 0.500 0.000
Ag1 Ag 0.000 0.500 0.500
# Energy relative to the elements   -163.3 meV/atom
# DOS(E_F)   13.74 states/eV/f.u.

=====

# 6
# CeEuGaAg GGA-PBE optimized geometry
data_CeEuGaAg
_chemical_formula_sum 'Ce4 Eu4 Ga4 Ag4'
_cell_length_a 7.474
_cell_length_b 7.474
_cell_length_c 7.474
_cell_angle_alpha 90.00
_cell_angle_beta 90.00
_cell_angle_gamma 90.00
_symmetry_space_group_name_H-M 'F -4 3 m'
_symmetry_Int_Tables_number 216
_symmetry_space_group_name_Hall 'F -4 2 3'
loop_
_atom_site_label
_atom_site_type_symbol
_atom_site_fract_x
_atom_site_fract_y
_atom_site_fract_z
Ce1 Ce 0.000 0.000 0.000
Eu1 Eu 0.000 0.000 0.500
Ga1 Ga 0.250 0.250 0.250
Ag1 Ag 0.250 0.250 0.750
# Energy relative to the elements   -294.7 meV/atom
# DOS(E_F)   8.23 states/eV/f.u.

=====

# 7
# CeEuAgGe GGA-PBE optimized geometry
data_CeEuAgGe
_chemical_formula_sum 'Ce4 Eu4 Ag4 Ge4'
_cell_length_a 7.456
_cell_length_b 7.456
_cell_length_c 7.456
_cell_angle_alpha 90.00
_cell_angle_beta 90.00
_cell_angle_gamma 90.00
_symmetry_space_group_name_H-M 'F -4 3 m'
_symmetry_Int_Tables_number 216
_symmetry_space_group_name_Hall 'F -4 2 3'
loop_
_atom_site_label
_atom_site_type_symbol
_atom_site_fract_x
_atom_site_fract_y
_atom_site_fract_z
Ce1 Ce 0.000 0.000 0.000
Eu1 Eu 0.000 0.000 0.500
Ag1 Ag 0.250 0.250 0.250
Ge1 Ge 0.250 0.250 0.750
# Energy relative to the elements   -419.6 meV/atom
# DOS(E_F)   8.96 states/eV/f.u.

=====

# 8
# CeEuInAg GGA-PBE optimized geometry
data_CeEuInAg
_chemical_formula_sum 'Ce4 Eu4 In4 Ag4'
_cell_length_a 7.695
_cell_length_b 7.695
_cell_length_c 7.695
_cell_angle_alpha 90.00
_cell_angle_beta 90.00
_cell_angle_gamma 90.00
_symmetry_space_group_name_H-M 'F -4 3 m'
_symmetry_Int_Tables_number 216
_symmetry_space_group_name_Hall 'F -4 2 3'
loop_
_atom_site_label
_atom_site_type_symbol
_atom_site_fract_x
_atom_site_fract_y
_atom_site_fract_z
Ce1 Ce 0.000 0.000 0.000
Eu1 Eu 0.000 0.000 0.500
In1 In 0.250 0.250 0.250
Ag1 Ag 0.250 0.250 0.750
# Energy relative to the elements   -257.1 meV/atom
# DOS(E_F)   13.28 states/eV/f.u.